# 1
Here is a crystal of Ba3Cd2As4 relaxed with PBEsol from Alexandria. Energies are from meta-GGA SCAN.

a = 16.977 Å, b = 4.570 Å, c = 7.268 Å
α = 90.00°, β = 112.06°, γ = 90.00°
Space group C2/m (No. 12)
Asymmetric unit:
Ba  0.000  0.000  0.000 [2 per cell]
Ba  0.143  0.000  0.580 [4 per cell]
Cd  0.168  0.500  0.971 [4 per cell]
As  0.005  0.500  0.675 [4 per cell]
As  0.207  0.000  0.192 [4 per cell]

Formation energy ... -0.980 eV per atom
Crystal system ... monoclinic
Total energy ... -29.895 eV per atom
Total magnetic moment ... 0.0 μB/cell

---

# 2
Here is a crystal of Y2PbBr relaxed with PBEsol from Alexandria. Energies are from meta-GGA SCAN.

a = 7.580 Å, b = 7.580 Å, c = 7.580 Å
α = 90.00°, β = 90.00°, γ = 90.00°
Space group F-43m (No. 216)
Asymmetric unit:
Y  0.000  0.000  0.000 [4 per cell]
Y  0.250  0.250  0.250 [4 per cell]
Pb  0.250  0.250  0.750 [4 per cell]
Br  0.000  0.000  0.500 [4 per cell]

Raw formation energy ... -104 meV per atom
Crystal system ... cubic
Total energy ... -37.835 eV per atom
Total magnetic moment ... 4.3 μB/cell
Energy relative to the lowest polymorph listed for this composition ... 3.23 eV per formula unit

---

# 3
Here is a crystal of Ru2PbSe relaxed with PBEsol from Alexandria. Energies are from meta-GGA SCAN.

a = 3.024 Å, b = 3.922 Å, c = 6.161 Å
α = 90.00°, β = 99.90°, γ = 90.00°
Space group P2/m (No. 10)
Asymmetric unit:
Ru  0.185  0.000  0.315 [2 per cell]
Pb  0.500  0.500  0.000 [1 per cell]
Se  0.000  0.500  0.500 [1 per cell]

Raw formation energy ... 615 meV per atom
Crystal system ... monoclinic
Total energy ... -40.763 eV per atom
Total magnetic moment ... 0.0 μB/cell
Energy relative to the lowest polymorph listed for this composition ... 1.38 eV per formula unit

---

# 4
Here is a crystal of Ba2Au relaxed with PBEsol from Alexandria. Energies are from meta-GGA SCAN.

a = 4.6979 Å, b = 4.6979 Å, c = 7.4364 Å
α = 90.00°, β = 90.00°, γ = 120.00°
Space group P-3m1 (No. 164)
Asymmetric unit:
Ba  0.3333  0.6667  0.2671 [2 per cell]
Au  0.0000  0.0000  0.5000 [1 per cell]

Formation energy ... -0.630 eV per atom
Crystal system ... trigonal
Total energy ... -50.049 eV per atom
Total magnetic moment ... 0.0 μB/cell

---

# 5
Here is a crystal of BaY3Sc relaxed with PBEsol from Alexandria. Energies are from meta-GGA SCAN.

a = 5.546 Å, b = 5.546 Å, c = 5.546 Å
α = 90.00°, β = 90.00°, γ = 90.00°
Space group Pm-3m (No. 221)
Asymmetric unit:
Ba  0.000  0.000  0.000 [1 per cell]
Y  0.000  0.000  0.500 [3 per cell]
Sc  0.500  0.500  0.500 [1 per cell]

Formation energy ... 1.028 eV per atom
Crystal system ... cubic
Total energy ... -26.435 eV per atom
Total magnetic moment ... 0.0 μB/cell

---

# 6
Here is a crystal of HfRe2F relaxed with PBEsol from Alexandria. Energies are from meta-GGA SCAN.

a = 6.248 Å, b = 6.248 Å, c = 6.248 Å
α = 90.00°, β = 90.00°, γ = 90.00°
Space group Fm-3m (No. 225)
Asymmetric unit:
Hf  0.000  0.000  0.000 [4 per cell]
Re  0.250  0.250  0.250 [8 per cell]
F  0.000  0.000  0.500 [4 per cell]

Raw formation energy ... 712 meV per atom
Crystal system ... cubic
Total energy ... -51.390 eV per atom
Total magnetic moment ... 0.0 μB/cell

---

# 7
Here is a crystal of Ba2Sb2O7 relaxed with PBEsol from Alexandria. Energies are from meta-GGA SCAN.

a = 7.707 Å, b = 10.638 Å, c = 8.001 Å
α = 90.00°, β = 90.00°, γ = 90.00°
Space group Imma (No. 74)
Asymmetric unit:
Ba  0.000  0.000  0.000 [4 per cell]
Ba  0.250  0.250  0.250 [4 per cell]
Sb  0.000  0.000  0.500 [4 per cell]
Sb  0.250  0.250  0.750 [4 per cell]
O  0.000  0.088  0.291 [8 per cell]
O  0.000  0.250  0.847 [4 per cell]
O  0.198  0.120  0.574 [16 per cell]

Raw formation energy ... -2215 meV per atom
Crystal system ... orthorhombic
Total energy ... -20.145 eV per atom
Total magnetic moment ... 0.0 μB/cell

---

# 8
Here is a crystal of CoTc2Hg relaxed with PBEsol from Alexandria. Energies are from meta-GGA SCAN.

a = 8.856 Å, b = 2.770 Å, c = 4.827 Å
α = 90.00°, β = 100.74°, γ = 90.00°
Space group Cm (No. 8)
Asymmetric unit:
Co  0.000  0.000  0.000 [2 per cell]
Tc  0.233  0.500  0.234 [2 per cell]
Tc  0.483  0.000  0.423 [2 per cell]
Hg  0.245  0.000  0.741 [2 per cell]

Formation energy ... 0.438 eV per atom
Crystal system ... monoclinic
Total energy ... -38.460 eV per atom
Total magnetic moment ... 4.1 μB/cell

---

> The lowest total energy belongs to which entry?

HfRe2F

---

> What is the total magnetic moment in the eighth record?

4.1 μB/cell

---

Please write out number 2 again, unchanged.
Here is a crystal of Y2PbBr relaxed with PBEsol from Alexandria. Energies are from meta-GGA SCAN.

a = 7.580 Å, b = 7.580 Å, c = 7.580 Å
α = 90.00°, β = 90.00°, γ = 90.00°
Space group F-43m (No. 216)
Asymmetric unit:
Y  0.000  0.000  0.000 [4 per cell]
Y  0.250  0.250  0.250 [4 per cell]
Pb  0.250  0.250  0.750 [4 per cell]
Br  0.000  0.000  0.500 [4 per cell]

Raw formation energy ... -104 meV per atom
Crystal system ... cubic
Total energy ... -37.835 eV per atom
Total magnetic moment ... 4.3 μB/cell
Energy relative to the lowest polymorph listed for this composition ... 3.23 eV per formula unit